Model i:
NbSbC3: relaxed, PBE.

Summary:
D(E_F) ... 4.43 states/eV per cell
Symmetry ... No. 221

a b c (Å): 4.2447 4.2447 4.2447
angles (deg): 90.00 90.00 90.00
Atoms (fractional coordinates):
1 Nb 0.0000 0.0000 0.0000
2 C 0.0000 0.0000 0.5000
3 C 0.5000 0.0000 0.0000
4 C 0.0000 0.5000 0.0000
5 Sb 0.5000 0.5000 0.5000

***

Model ii:
NbSbC3: relaxed, PBE.

Summary:
D(E_F) ... 3.69 states/eV per cell
Symmetry ... No. 221

a b c (Å): 4.1236 4.1236 4.1236
angles (deg): 90.00 90.00 90.00
Atoms (fractional coordinates):
1 C 0.0000 0.5000 0.0000
2 C 0.5000 0.0000 0.0000
3 C 0.0000 0.0000 0.5000
4 Nb 0.5000 0.5000 0.5000
5 Sb 0.0000 0.0000 0.0000

***

Energy relative to the most stable one, in kJ/mol of atoms: model i 0.0; model ii 72.5

***

Model i:
NbSb3C: relaxed, PBE.

Summary:
D(E_F) ... 2.28 states/eV per cell
Symmetry ... No. 221

a b c (Å): 5.3159 5.3159 5.3159
angles (deg): 90.00 90.00 90.00
Atoms (fractional coordinates):
1 Sb 0.0000 0.0000 0.5000
2 Sb 0.5000 0.0000 0.0000
3 Sb 0.0000 0.5000 0.0000
4 C 0.5000 0.5000 0.5000
5 Nb 0.0000 0.0000 0.0000

***

Model ii:
NbSb3C: relaxed, PBE.

Summary:
D(E_F) ... 4.28 states/eV per cell
Symmetry ... No. 221

a b c (Å): 4.6728 4.6728 4.6728
angles (deg): 90.00 90.00 90.00
Atoms (fractional coordinates):
1 Nb 0.5000 0.5000 0.5000
2 C 0.0000 0.0000 0.0000
3 Sb 0.5000 0.0000 0.0000
4 Sb 0.0000 0.0000 0.5000
5 Sb 0.0000 0.5000 0.0000

***

Energy relative to the most stable one, in kJ/mol of atoms: model i 50.1; model ii 0.0

***

Model i:
Sc2NbSbC: relaxed, PBE.

Summary:
D(E_F) ... 3.98 states/eV per cell
Symmetry ... No. 123

a b c (Å): 4.5781 4.2685 4.5781
angles (deg): 90.00 90.00 90.00
Atoms (fractional coordinates):
1 Sc 0.5000 0.0000 0.0000
2 Sc 0.0000 0.0000 0.5000
3 Nb 0.0000 0.5000 0.0000
4 Sb 0.5000 0.5000 0.5000
5 C 0.0000 0.0000 0.0000

***

Model ii:
Sc2NbSbC: relaxed, PBE.

Summary:
D(E_F) ... 2.89 states/eV per cell
Symmetry ... No. 123

a b c (Å): 5.1212 5.1825 5.1212
angles (deg): 90.00 90.00 90.00
Atoms (fractional coordinates):
1 Nb 0.0000 0.0000 0.0000
2 C 0.5000 0.5000 0.5000
3 Sb 0.0000 0.5000 0.0000
4 Sc 0.0000 0.0000 0.5000
5 Sc 0.5000 0.0000 0.0000

***

Energy relative to the most stable one, in kJ/mol of atoms: model i 0.0; model ii 207.1

***

Model i:
NbSbTe2C: relaxed, PBE.

Summary:
D(E_F) ... 3.46 states/eV per cell
Symmetry ... No. 123

a b c (Å): 4.7092 4.7092 4.6904
angles (deg): 90.00 90.00 90.00
Atoms (fractional coordinates):
1 Sb 0.0000 0.0000 0.5000
2 Te 0.0000 0.5000 0.0000
3 Te 0.5000 0.0000 0.0000
4 Nb 0.5000 0.5000 0.5000
5 C 0.0000 0.0000 0.0000

***

Model ii:
NbSbTe2C: relaxed, PBE.

Summary:
D(E_F) ... 4.43 states/eV per cell
Symmetry ... No. 123

a b c (Å): 5.3469 5.3469 5.4178
angles (deg): 90.00 90.00 90.00
Atoms (fractional coordinates):
1 Nb 0.0000 0.0000 0.0000
2 Te 0.5000 0.0000 0.0000
3 Te 0.0000 0.5000 0.0000
4 Sb 0.0000 0.0000 0.5000
5 C 0.5000 0.5000 0.5000

***

Energy relative to the most stable one, in kJ/mol of atoms: model i 0.0; model ii 43.6